# 1
Material: BeGaGe
Method: DFT, PBE-GGA
State: optimized geometry

a = 4.213 Å, b = 4.266 Å, c = 5.782 Å
α = 75.27°, β = 81.43°, γ = 85.16°
Sites, in units of the cell vectors:
Be  0.011  0.453  0.999
Ge  0.825  0.010  0.894
Ga  0.835  0.649  0.352
Be  0.353  0.221  0.758
Ge  0.251  0.771  0.589
Ga  0.443  0.269  0.227

Output
Energy: -3.582 eV per atom
ΔE to the lowest computed polymorph: 0.049 eV/atom
Symmetry: P1, No. 1

=====

# 2
Material: BeGaGe
Method: DFT, PBE-GGA
State: optimized geometry

a = 7.028 Å, b = 3.833 Å, c = 7.348 Å
α = 90.00°, β = 99.86°, γ = 90.00°
Sites, in units of the cell vectors:
Be  0.284  0.000  0.694
Be  0.981  0.500  0.285
Ge  0.406  0.500  0.510
Be  0.981  0.000  0.785
Ge  0.406  0.000  0.010
Ga  0.622  0.000  0.676
Ge  0.074  0.000  0.118
Be  0.284  0.500  0.194
Ga  0.815  0.000  0.403
Ga  0.815  0.500  0.903
Ga  0.622  0.500  0.176
Ge  0.074  0.500  0.618

Output
Energy: -3.600 eV per atom
ΔE to the lowest computed polymorph: 0.031 eV/atom
Symmetry: Cm, No. 8

=====

# 3
Material: BeGa3Ge
Method: DFT, PBE-GGA
State: optimized geometry

a = 4.519 Å, b = 4.519 Å, c = 4.519 Å
α = 90.00°, β = 90.00°, γ = 90.00°
Sites, in units of the cell vectors:
Be  0.000  0.000  0.000
Ga  0.000  0.000  0.500
Ga  0.500  0.000  0.000
Ge  0.500  0.500  0.500
Ga  0.000  0.500  0.000

Output
Energy: -3.131 eV per atom
ΔE to the lowest computed polymorph: 0.000 eV/atom
Symmetry: Pm-3m, No. 221

=====

# 4
Material: BeGaGe
Method: DFT, PBE-GGA
State: optimized geometry

a = 3.729 Å, b = 3.729 Å, c = 8.318 Å
α = 90.00°, β = 90.00°, γ = 120.00°
Sites, in units of the cell vectors:
Be  0.333  0.667  0.133
Ga  0.333  0.667  0.805
Ga  0.667  0.333  0.585
Ge  0.000  0.000  0.039
Ge  0.333  0.667  0.401
Be  0.667  0.333  0.219

Output
Energy: -3.575 eV per atom
ΔE to the lowest computed polymorph: 0.056 eV/atom
Symmetry: P3m1, No. 156

=====

# 5
Material: BeGaGe
Method: DFT, PBE-GGA
State: optimized geometry

a = 3.746 Å, b = 4.978 Å, c = 5.604 Å
α = 108.22°, β = 109.48°, γ = 89.92°
Sites, in units of the cell vectors:
Be  0.212  0.872  0.925
Ga  0.843  0.666  0.187
Be  0.788  0.128  0.075
Ge  0.441  0.204  0.383
Ge  0.559  0.796  0.617
Ga  0.157  0.334  0.813

Output
Energy: -3.580 eV per atom
ΔE to the lowest computed polymorph: 0.051 eV/atom
Symmetry: P-1, No. 2

=====

# 6
Material: BeGaGe2
Method: DFT, PBE-GGA
State: optimized geometry

a = 4.552 Å, b = 4.552 Å, c = 4.552 Å
α = 60.00°, β = 60.00°, γ = 60.00°
Sites, in units of the cell vectors:
Be  0.000  0.000  0.000
Ge  0.750  0.750  0.750
Ge  0.250  0.250  0.250
Ga  0.500  0.500  0.500

Output
Energy: -3.550 eV per atom
ΔE to the lowest computed polymorph: 0.205 eV/atom
Symmetry: Fm-3m, No. 225

=====

# 7
Material: BeGaGe
Method: DFT, PBE-GGA
State: optimized geometry

a = 7.649 Å, b = 3.786 Å, c = 7.098 Å
α = 90.00°, β = 100.16°, γ = 90.00°
Sites, in units of the cell vectors:
Ge  0.027  0.000  0.156
Be  0.293  0.500  0.519
Ge  0.364  0.500  0.222
Ge  0.364  0.000  0.722
Be  0.107  0.000  0.481
Ga  0.602  0.500  0.663
Ga  0.789  0.500  0.000
Ga  0.789  0.000  0.500
Ge  0.027  0.500  0.656
Be  0.107  0.500  0.981
Ga  0.602  0.000  0.163
Be  0.293  0.000  0.019

Output
Energy: -3.605 eV per atom
ΔE to the lowest computed polymorph: 0.026 eV/atom
Symmetry: Cm, No. 8

=====

# 8
Material: BeGaGe
Method: DFT, PBE-GGA
State: optimized geometry

a = 4.000 Å, b = 4.367 Å, c = 5.967 Å
α = 75.99°, β = 80.16°, γ = 83.81°
Sites, in units of the cell vectors:
Ge  0.744  0.921  0.950
Ga  0.390  0.494  0.885
Ge  0.419  0.587  0.436
Be  0.968  0.513  0.226
Be  0.171  0.014  0.148
Ga  0.028  0.097  0.537

Output
Energy: -3.584 eV per atom
ΔE to the lowest computed polymorph: 0.046 eV/atom
Symmetry: P1, No. 1

=====

# 9
Material: BeGaGe
Method: DFT, PBE-GGA
State: optimized geometry

a = 6.916 Å, b = 3.841 Å, c = 7.427 Å
α = 90.00°, β = 96.50°, γ = 90.00°
Sites, in units of the cell vectors:
Be  0.455  0.500  0.586
Ge  0.271  0.500  0.146
Be  0.157  0.500  0.434
Ga  0.546  0.500  0.896
Be  0.455  0.000  0.086
Ge  0.271  0.000  0.646
Ge  0.957  0.500  0.878
Ge  0.957  0.000  0.378
Ga  0.546  0.000  0.396
Ga  0.796  0.000  0.054
Be  0.157  0.000  0.934
Ga  0.796  0.500  0.554

Output
Energy: -3.607 eV per atom
ΔE to the lowest computed polymorph: 0.024 eV/atom
Symmetry: Cm, No. 8

=====

# 10
Material: Be3GaGe
Method: DFT, PBE-GGA
State: optimized geometry

a = 4.255 Å, b = 4.255 Å, c = 4.255 Å
α = 90.00°, β = 90.00°, γ = 90.00°
Sites, in units of the cell vectors:
Be  0.000  0.500  0.000
Ge  0.500  0.500  0.500
Be  0.500  0.000  0.000
Be  0.000  0.000  0.500
Ga  0.000  0.000  0.000

Output
Energy: -2.847 eV per atom
Symmetry: Pm-3m, No. 221

=====

# 11
Material: Be2GaGe2
Method: DFT, PBE-GGA
State: optimized geometry

a = 3.924 Å, b = 3.924 Å, c = 5.795 Å
α = 70.21°, β = 70.21°, γ = 90.00°
Sites, in units of the cell vectors:
Ga  0.000  0.000  0.000
Ge  0.377  0.377  0.246
Be  0.750  0.250  0.500
Ge  0.623  0.623  0.754
Be  0.250  0.750  0.500

Output
Energy: -3.664 eV per atom
Symmetry: I4/mmm, No. 139

=====

# 12
Material: BeGaGe
Method: DFT, PBE-GGA
State: optimized geometry

a = 4.045 Å, b = 4.045 Å, c = 4.045 Å
α = 60.00°, β = 60.00°, γ = 60.00°
Sites, in units of the cell vectors:
Be  0.250  0.250  0.250
Ge  0.000  0.000  0.000
Ga  0.500  0.500  0.500

Output
Energy: -3.631 eV per atom
ΔE to the lowest computed polymorph: 0.000 eV/atom
Symmetry: F-43m, No. 216

=====

Ordered total magnetic moment results: 0.0 0.0 0.0 0.0 0.0 0.0 0.0 0.0 0.0 0.0 0.0 0.0; unit μB per formula unit.
Ordered energy of formation from the pure elements results: 0.2078 0.1901 0.3543 0.2154 0.2100 0.4469 0.1854 0.2057 0.1830 0.9172 0.2791 0.1592; unit eV per atom.